Density functional theory data (GGA-PBE) for a relaxed structure of CeMgZr2.

Computed properties:
Volume ... 23.700 Å³/atom
Polymorph energy (0 for the lowest one) ... 12 meV/atom
ΔH_f (0 K) ... 0.07 eV/atom
N(E_F) ... 1.547 states/eV per atom
Total magnetic moment ... 0.000 μB per atom

Structure (CIF):
```
data_CeMgZr2
_cell_length_a 3.100
_cell_length_b 3.100
_cell_length_c 9.864
_cell_angle_alpha 90.00
_cell_angle_beta 90.00
_cell_angle_gamma 90.00
_space_group_name_H-M_alt 'P 4/m m m'
_space_group_IT_number 123
_space_group_name_Hall '-P 4 2'
loop_
_atom_site_label
_atom_site_fract_x
_atom_site_fract_y
_atom_site_fract_z
_atom_site_occupancy
Ce1 0.000 0.000 0.000 1
Mg1 0.000 0.000 0.500 1
Zr1 0.500 0.500 0.260 1
```

***

Density functional theory data (GGA-PBE) for a relaxed structure of Nd6AsPt2I3.

Computed properties:
ΔE_f (raw) ... -1.140 eV per atom
Volume ... 32.124 Å³/atom
N(E_F) ... 0.927 states/eV per atom
Total magnetic moment ... 0.000 μB per atom

Structure (CIF):
```
data_Nd6AsPt2I3
_cell_length_a 7.543
_cell_length_b 13.029
_cell_length_c 8.235
_cell_angle_alpha 90.00
_cell_angle_beta 107.72
_cell_angle_gamma 90.00
_space_group_name_H-M_alt 'C 1 2/m 1'
_space_group_IT_number 12
_space_group_name_Hall '-C 2y'
loop_
_atom_site_label
_atom_site_fract_x
_atom_site_fract_y
_atom_site_fract_z
_atom_site_occupancy
Nd1 0.217 0.000 0.190 1
Nd2 0.237 0.327 0.190 1
As1 0.000 0.500 0.000 1
Pt1 0.000 0.167 0.000 1
I1 0.000 0.000 0.500 1
I2 0.000 0.338 0.500 1
```

***

Density functional theory data (GGA-PBE) for a relaxed structure of ZrInNO2.

Computed properties:
ΔE_f (raw) ... -1.199 eV per atom
Volume ... 14.935 Å³/atom
N(E_F) ... 0.450 states/eV per atom
Total magnetic moment ... 0.015 μB per atom

Structure (CIF):
```
data_ZrInNO2
_cell_length_a 4.098
_cell_length_b 4.098
_cell_length_c 4.447
_cell_angle_alpha 90.00
_cell_angle_beta 90.00
_cell_angle_gamma 90.00
_space_group_name_H-M_alt 'P 4/m m m'
_space_group_IT_number 123
_space_group_name_Hall '-P 4 2'
loop_
_atom_site_label
_atom_site_fract_x
_atom_site_fract_y
_atom_site_fract_z
_atom_site_occupancy
Zr1 0.000 0.000 0.000 1
In1 0.500 0.500 0.500 1
N1 0.000 0.000 0.500 1
O1 0.000 0.500 0.000 1
```

***

Density functional theory data (GGA-PBE) for a relaxed structure of NaAc2ZnO5.

Computed properties:
ΔE_f (raw) ... -2.275 eV per atom
Volume ... 16.632 Å³/atom
N(E_F) ... 0.875 states/eV per atom
Total magnetic moment ... 0.104 μB per atom

Structure (CIF):
```
data_NaAc2ZnO5
_cell_length_a 7.217
_cell_length_b 7.217
_cell_length_c 11.494
_cell_angle_alpha 90.00
_cell_angle_beta 90.00
_cell_angle_gamma 90.00
_space_group_name_H-M_alt 'I 4/m c m'
_space_group_IT_number 140
_space_group_name_Hall '-I 4 2c'
loop_
_atom_site_label
_atom_site_fract_x
_atom_site_fract_y
_atom_site_fract_z
_atom_site_occupancy
Na1 0.000 0.000 0.250 1
Ac1 0.176 0.324 0.000 1
Zn1 0.000 0.500 0.250 1
O1 0.000 0.000 0.000 1
O2 0.136 0.364 0.369 1
```

***

Density functional theory data (GGA-PBE) for a relaxed structure of Ce3Ga5Au6.

Computed properties:
Volume ... 20.478 Å³/atom
ΔH_f (0 K) ... -0.60 eV/atom
N(E_F) ... 1.386 states/eV per atom
Total magnetic moment ... 0.151 μB per atom

Structure (CIF):
```
data_Ce3Ga5Au6
_cell_length_a 4.516
_cell_length_b 13.567
_cell_length_c 9.358
_cell_angle_alpha 90.00
_cell_angle_beta 90.00
_cell_angle_gamma 90.00
_space_group_name_H-M_alt 'P m m n'
_space_group_IT_number 59
loop_
_space_group_symop_operation_xyz
'x,y,z'
'-x,-y,-z'
'-x+1/2,-y+1/2,z'
'x+1/2,y+1/2,-z'
'x+1/2,-y,-z'
'-x+1/2,y,z'
'-x,y+1/2,-z'
'x,-y+1/2,z'
loop_
_atom_site_label
_atom_site_fract_x
_atom_site_fract_y
_atom_site_fract_z
_atom_site_occupancy
Ce1 0.250 0.053 0.248 1
Ce2 0.250 0.750 0.253 1
Ga1 0.250 0.082 0.608 1
Ga2 0.250 0.607 0.973 1
Ga3 0.250 0.750 0.747 1
Au1 0.250 0.090 0.881 1
Au2 0.250 0.250 0.080 1
Au3 0.250 0.250 0.454 1
Au4 0.250 0.610 0.530 1
```

***

Density functional theory data (GGA-PBE) for a relaxed structure of Sm3Ag.

Computed properties:
Volume ... 28.730 Å³/atom
Polymorph energy (0 for the lowest one) ... 115 meV/atom
ΔH_f (0 K) ... 0.02 eV/atom
N(E_F) ... 1.200 states/eV per atom
Total magnetic moment ... 0.000 μB per atom

Structure (CIF):
```
data_Sm3Ag
_cell_length_a 4.740
_cell_length_b 4.740
_cell_length_c 10.229
_cell_angle_alpha 90.00
_cell_angle_beta 90.00
_cell_angle_gamma 90.00
_space_group_name_H-M_alt 'I 4/m m m'
_space_group_IT_number 139
_space_group_name_Hall '-I 4 2'
loop_
_atom_site_label
_atom_site_fract_x
_atom_site_fract_y
_atom_site_fract_z
_atom_site_occupancy
Sm1 0.000 0.000 0.000 1
Sm2 0.000 0.500 0.250 1
Ag1 0.000 0.000 0.500 1
```

***

The lowest N(E_F) belongs to which entry? ZrInNO2